1.
DFT (GGA-PBE) results for TaBRu3 after structural relaxation.

```
10
Lattice="-0.853 4.402 2.986 -3.640 -3.442 2.166 1.288 -2.738 4.404" Properties=species:S:1:pos:R:3 pbc="T T T"
Ta 0.193 -0.743 4.988
Ta -2.480 0.796 3.485
Ru -1.928 -1.741 3.867
Ru -0.210 1.960 5.658
Ru -0.257 0.002 2.313
Ru -1.237 -3.691 5.687
Ru -0.804 2.741 3.083
Ru -2.042 0.075 6.122
B -2.957 -3.003 2.390
B -2.779 -2.088 5.952
```

ΔH_f (0 K) in eV/atom: -0.22
Final energy in eV/atom: -9.494
Magnetic moment in μB per formula unit: 0.000

2.
DFT (GGA-PBE) results for ScNiH6Ir2 after structural relaxation.

```
20
Lattice="-2.534 4.943 -1.568 -3.062 -0.731 4.837 4.351 1.814 1.966" Properties=species:S:1:pos:R:3 pbc="T T T"
Ni -1.664 3.050 1.573
Ni 0.420 2.977 3.662
Ir 0.250 0.637 2.108
Ir 2.566 3.051 1.391
Ir -3.811 2.976 3.844
Ir -1.495 5.389 3.127
H -0.583 0.605 0.592
H 1.575 3.779 2.629
H -0.662 5.422 4.643
H -2.847 4.411 3.777
H -1.104 2.821 4.785
H -0.679 2.032 2.593
H -0.141 3.205 0.451
H -2.820 2.248 2.607
H 1.603 1.615 1.459
H -3.060 4.264 1.148
H 1.815 1.762 4.087
H -0.566 3.994 2.643
Sc -1.875 0.791 4.123
Sc 0.630 5.236 1.113
```

Final energy in eV/atom: -5.208
Magnetic moment in μB per formula unit: 0.000

3.
DFT (GGA-PBE) results for CaAc2Tl after structural relaxation.

```
4
Lattice="5.554 0.000 0.000 2.777 4.810 0.000 2.777 1.603 6.019" Properties=species:S:1:pos:R:3 pbc="T T T"
Tl 8.331 4.810 3.584
Ac 2.777 1.603 1.957
Ac 2.777 1.603 5.732
Ca 5.554 3.207 3.774
```

Excess energy over the best structure of this formula in the dataset in eV per atom: 0.133
ΔH_f (0 K) in eV/atom: 0.00
Final energy in eV/atom: -3.149
Magnetic moment in μB per formula unit: 0.000

4.
DFT (GGA-PBE) results for Sm5DyHo2Tm after structural relaxation.

```
18
Lattice="-2.699 -2.818 -4.042 -1.330 -5.613 8.705 -8.869 5.422 2.142" Properties=species:S:1:pos:R:3 pbc="T T T"
Ho -3.390 0.090 2.200
Ho -10.626 -2.415 4.874
Ho -5.537 -5.570 3.675
Ho -7.143 2.428 3.076
Sm -6.589 -0.189 0.627
Sm -0.259 -0.139 0.270
Sm -4.273 -2.241 4.415
Sm -8.537 -5.377 5.544
Sm -4.267 -3.113 1.115
Sm -9.733 -0.090 2.657
Sm -7.873 -0.359 5.507
Sm -9.162 -2.741 8.027
Sm -3.595 -0.354 -1.257
Sm -2.257 -5.297 5.199
Tm -1.164 -2.731 2.680
Tm -7.497 -2.868 3.101
Dy -10.344 2.531 1.238
Dy -6.274 -3.265 6.465
```

ΔH_f (0 K) in eV/atom: 0.15
Final energy in eV/atom: -4.498
Magnetic moment in μB per formula unit: 0.000

5.
DFT (GGA-PBE) results for La2AlRh after structural relaxation.

```
4
Lattice="3.334 0.000 0.000 0.000 3.334 0.000 0.000 0.000 8.912" Properties=species:S:1:pos:R:3 pbc="T T T"
La 0.000 0.000 8.392
La 1.667 1.667 2.881
Al 1.667 1.667 6.069
Rh 0.000 0.000 4.938
```

ΔH_f (0 K) in eV/atom: -0.42
Final energy in eV/atom: -5.655
Magnetic moment in μB per formula unit: 0.000

6.
DFT (GGA-PBE) results for Ac2Tb4Y3 after structural relaxation.

```
9
Lattice="5.203 0.001 0.001 2.601 5.677 1.050 -0.001 1.414 10.862" Properties=species:S:1:pos:R:3 pbc="T T T"
Tb 2.600 6.148 4.713
Tb 2.601 2.044 1.568
Tb 5.202 5.048 10.345
Tb 5.202 0.943 7.201
Ac 5.203 4.098 3.116
Ac 2.600 2.994 8.797
Y 2.601 2.487 5.172
Y 0.000 0.000 0.000
Y 5.202 4.605 6.741
```

Excess energy over the best structure of this formula in the dataset in eV per atom: 0.000
ΔH_f (0 K) in eV/atom: 0.05
Final energy in eV/atom: -5.073
Magnetic moment in μB per formula unit: 0.000

Volume (computed, A^3/atom): 13.372 8.171 40.197 33.315 24.764 34.787
N(E_F) (computed, states/eV/cell): 5.44 7.12 5.13 28.79 5.07 14.13
Ρ (computed, g/cm³): 12.3 10.0 7.2 7.8 6.8 7.2